A PBEsol-optimized structure of MgSc2Tl, computed with SCAN.

Calculated values
E above lowest polymorph, meV per atom: 125.1
Mass density, g cm⁻³: 5.865
Magnetization, μB/f.u.: 0.01
Formation energy, eV/atom: -0.249

Cell lengths 3.5093, 4.9601, 6.0070 Å; angles 114.38, 106.98, 90.00 degrees
Fractional positions:
Mg  0.7643  0.2643  0.5286
Tl  0.4908  0.4908  0.9816
Sc  0.0011  0.0011  0.0021
Sc  0.2439  0.7439  0.4877

---

A PBEsol-optimized structure of MgScTl2, computed with SCAN.

Calculated values
Mass density, g cm⁻³: 8.789
Magnetization, μB/f.u.: 0.42
Formation energy, eV/atom: -0.288

Cell lengths 3.5473, 3.5532, 7.1653 Å; angles 90.00, 90.00, 90.00 degrees
Each line ends with the local moment (μB).
Fractional positions:
Mg  0.5000  0.5000  0.0000  0.00
Sc  0.5000  0.5000  0.5000  0.27
Tl  0.0000  0.0000  0.7551  0.00
Tl  0.0000  0.0000  0.2449  0.00

---

Question: Which of these has the highest mass density?
Answer: MgScTl2

---

Question: magnetization of number 2 (MgScTl2)?
Answer: 0.42 μB/f.u.

---

Question: The highest mass density belongs to which entry?
Answer: MgScTl2

---

Question: Which value of mass density does entry 2 give?
Answer: 8.789 g cm⁻³